# BaBeTc (PBE, relaxed)
# Mass density, kg/m3: 4420
# Energy of formation from the pure elements, eV/atom: 2.052
# Polymorph energy (0 for the lowest one), eV per atom: 1.483
# Space-group type: F-43m
# Calculated volume, Å³/cell: 91.79
data_BaBeTc
_chemical_formula_sum 'Ba1 Be1 Tc1'
_cell_length_a 5.063
_cell_length_b 5.063
_cell_length_c 5.063
_cell_angle_alpha 60.00
_cell_angle_beta 60.00
_cell_angle_gamma 60.00
_symmetry_space_group_name_H-M 'P 1'
_symmetry_Int_Tables_number 1
loop_
_symmetry_equiv_pos_as_xyz
'x,y,z'
loop_
_atom_site_label
_atom_site_fract_x
_atom_site_fract_y
_atom_site_fract_z
Ba1 0.000 0.000 0.000
Be1 0.750 0.750 0.750
Tc1 0.250 0.250 0.250